(1)
Material: NdPu2Si2Pd2
Method: DFT, PBE
State: optimized geometry

Lattice parameters (Å, degrees): 4.098 4.098 9.571 77.64 77.64 60.00
Last column: magnetic moment on the atom in μB.
Fractional positions:
1 Nd 0.000 0.000 0.000  0.01
2 Pu 0.149 0.149 0.553  2.27
3 Pu 0.851 0.851 0.447  2.27
4 Si 0.748 0.748 0.756  -0.03
5 Si 0.252 0.252 0.244  -0.03
6 Pd 0.593 0.593 0.222  -0.02
7 Pd 0.407 0.407 0.778  -0.02

Output
The calculation puts the energy relative to the elements, uncorrected at -506.6 meV per atom. As for the raw total energy: -8.32 eV/atom. Its crystal system is trigonal.


(2)
Material: AgS6Cl
Method: DFT, PBE
State: optimized geometry

Lattice parameters (Å, degrees): 6.014 7.013 9.304 59.51 66.82 39.06
Fractional positions:
1 Ag 0.000 0.000 0.500
2 S 0.719 0.641 0.219
3 S 0.236 0.397 0.182
4 S 0.764 0.603 0.818
5 S 0.281 0.359 0.781
6 S 0.502 0.912 0.361
7 S 0.498 0.088 0.639
8 Cl 0.000 0.000 0.000

Output
The calculation puts the energy relative to the elements, uncorrected at 54.7 meV per atom. As for the raw total energy: -3.63 eV/atom. Its crystal system is triclinic.


(3)
Material: CdCuSbSe2
Method: DFT, PBE
State: optimized geometry

Lattice parameters (Å, degrees): 4.850 5.029 4.850 90.00 90.00 90.00
Fractional positions:
1 Sb 0.500 0.500 0.500
2 Cu 0.000 0.000 0.000
3 Se 0.000 0.000 0.500
4 Se 0.500 0.000 0.000
5 Cd 0.000 0.500 0.000

Output
The calculation puts the energy relative to the elements, uncorrected at 311.5 meV per atom. As for the raw total energy: -2.91 eV/atom. Its crystal system is tetragonal.


(4)
Material: SmCoSn3
Method: DFT, PBE
State: optimized geometry

Lattice parameters (Å, degrees): 6.013 6.157 12.582 90.00 90.00 90.00
Last column: magnetic moment on the atom in μB.
Fractional positions:
1 Sm 0.750 0.519 0.701  0.01
2 Sm 0.250 0.481 0.299  0.01
3 Sm 0.750 0.019 0.299  0.01
4 Sm 0.250 0.981 0.701  0.01
5 Co 0.500 0.250 0.108  0.53
6 Co 0.000 0.750 0.892  0.53
7 Co 0.500 0.750 0.892  0.53
8 Co 0.000 0.250 0.108  0.53
9 Sn 0.000 0.250 0.505  0.01
10 Sn 0.500 0.750 0.495  0.01
11 Sn 0.000 0.750 0.495  0.01
12 Sn 0.500 0.250 0.505  0.01
13 Sn 0.250 0.084 0.952  -0.01
14 Sn 0.750 0.916 0.048  -0.01
15 Sn 0.250 0.584 0.048  -0.01
16 Sn 0.750 0.416 0.952  -0.01
17 Sn 0.250 0.478 0.785  0.00
18 Sn 0.750 0.522 0.215  0.00
19 Sn 0.250 0.978 0.215  0.00
20 Sn 0.750 0.022 0.785  0.00

Output
As for the raw total energy: -5.13 eV/atom. Its crystal system is orthorhombic.


(5)
Material: Ba2TlPb5
Method: DFT, PBE
State: optimized geometry

Lattice parameters (Å, degrees): 7.079 7.079 7.519 61.91 61.91 90.00
Fractional positions:
1 Ba 0.260 0.760 0.480
2 Ba 0.760 0.260 0.480
3 Tl 0.819 0.819 0.362
4 Pb 0.761 0.761 0.969
5 Pb 0.761 0.271 0.969
6 Pb 0.271 0.761 0.968
7 Pb 0.271 0.271 0.968
8 Pb 0.322 0.322 0.357

Output
As for the raw total energy: -3.45 eV/atom. Its crystal system is tetragonal.


(6)
Material: LaMg2W
Method: DFT, PBE
State: optimized geometry

Lattice parameters (Å, degrees): 5.355 5.355 3.072 90.00 90.00 90.00
Last column: magnetic moment on the atom in μB.
Fractional positions:
1 La 0.000 0.500 0.500  0.16
2 Mg 0.000 0.000 0.000  0.00
3 Mg 0.500 0.500 0.000  0.00
4 W 0.500 0.000 0.500  0.00

Output
The polymorph energy (0 for the lowest one) is 0.313 eV/atom. As for the raw total energy: -4.56 eV/atom. Its crystal system is tetragonal.


(7)
Material: BeIr3W
Method: DFT, PBE
State: optimized geometry

Lattice parameters (Å, degrees): 4.735 4.735 4.735 90.00 90.00 90.00
Fractional positions:
1 Be 0.500 0.500 0.500
2 Ir 0.000 0.500 0.000
3 Ir 0.000 0.000 0.500
4 Ir 0.500 0.000 0.000
5 W 0.000 0.000 0.000

Output
The polymorph energy (0 for the lowest one) is 1.569 eV/atom. As for the raw total energy: -6.73 eV/atom. Its crystal system is cubic.


(8)
Material: HRhCS2
Method: DFT, PBE
State: optimized geometry

Lattice parameters (Å, degrees): 4.477 4.477 2.765 90.00 90.00 90.00
Fractional positions:
1 H 0.000 0.000 0.000
2 S 0.000 0.500 0.000
3 S 0.500 0.000 0.000
4 Rh 0.500 0.500 0.500
5 C 0.000 0.000 0.500

Output
As for the raw total energy: -4.35 eV/atom. Its crystal system is tetragonal.